# 1
# PBE Ti2Se2I, optimized geometry
data_Ti2Se2I
_chemical_formula_sum 'Ti4 Se4 I2'
_symmetry_space_group_name_H-M 'P 1'
_symmetry_Int_Tables_number 1
_cell_length_a 7.736
_cell_length_b 7.736
_cell_length_c 3.476
_cell_angle_alpha 90.00
_cell_angle_beta 90.00
_cell_angle_gamma 90.00
loop_
_symmetry_equiv_pos_as_xyz
'x,y,z'
loop_
_atom_site_label
_atom_site_fract_x
_atom_site_fract_y
_atom_site_fract_z
_atom_site_occupancy
I1 0.000 0.000 0.000 1
I2 0.500 0.500 0.000 1
Se1 0.140 0.640 0.500 1
Se2 0.640 0.860 0.500 1
Se3 0.860 0.360 0.500 1
Se4 0.360 0.140 0.500 1
Ti1 0.378 0.878 0.000 1
Ti2 0.878 0.622 0.000 1
Ti3 0.622 0.122 0.000 1
Ti4 0.122 0.378 0.000 1
# Electronic total energy in eV/atom: -5.547
# Energy relative to the lowest polymorph listed for this composition in eV/atom: 0.043
# Space-group type: P4/mbm, No. 127



# 2
# PBE TiSeI3, optimized geometry
data_TiSeI3
_chemical_formula_sum 'Ti1 Se1 I3'
_symmetry_space_group_name_H-M 'P 1'
_symmetry_Int_Tables_number 1
_cell_length_a 5.557
_cell_length_b 5.557
_cell_length_c 5.557
_cell_angle_alpha 90.00
_cell_angle_beta 90.00
_cell_angle_gamma 90.00
loop_
_symmetry_equiv_pos_as_xyz
'x,y,z'
loop_
_atom_site_label
_atom_site_fract_x
_atom_site_fract_y
_atom_site_fract_z
_atom_site_occupancy
I1 0.000 0.500 0.000 1
I2 0.000 0.000 0.500 1
I3 0.500 0.000 0.000 1
Se1 0.500 0.500 0.500 1
Ti1 0.000 0.000 0.000 1
# Electronic total energy in eV/atom: -3.194
# Space-group type: Pm-3m, No. 221



# 3
# PBE Ti2Se2I, optimized geometry
data_Ti2Se2I
_chemical_formula_sum 'Ti4 Se4 I2'
_symmetry_space_group_name_H-M 'P 1'
_symmetry_Int_Tables_number 1
_cell_length_a 7.437
_cell_length_b 7.437
_cell_length_c 7.466
_cell_angle_alpha 119.87
_cell_angle_beta 119.87
_cell_angle_gamma 90.00
loop_
_symmetry_equiv_pos_as_xyz
'x,y,z'
loop_
_atom_site_label
_atom_site_fract_x
_atom_site_fract_y
_atom_site_fract_z
_atom_site_occupancy
Ti1 0.424 0.637 0.849 1
Ti2 0.461 0.174 0.349 1
Ti3 0.887 0.174 0.349 1
Ti4 0.424 0.211 0.849 1
Se1 0.662 0.903 0.323 1
Se2 0.670 0.412 0.823 1
Se3 0.153 0.412 0.823 1
Se4 0.662 0.420 0.323 1
I1 0.009 0.009 0.017 1
I2 0.259 0.759 0.517 1
# Electronic total energy in eV/atom: -5.590
# Energy relative to the lowest polymorph listed for this composition in eV/atom: 0.000
# Space-group type: I4_1md, No. 109



# 4
# PBE Ti7SeI12, optimized geometry
data_Ti7SeI12
_chemical_formula_sum 'Ti7 Se1 I12'
_symmetry_space_group_name_H-M 'P 1'
_symmetry_Int_Tables_number 1
_cell_length_a 9.333
_cell_length_b 9.333
_cell_length_c 9.333
_cell_angle_alpha 108.44
_cell_angle_beta 108.44
_cell_angle_gamma 108.44
loop_
_symmetry_equiv_pos_as_xyz
'x,y,z'
loop_
_atom_site_label
_atom_site_fract_x
_atom_site_fract_y
_atom_site_fract_z
_atom_site_occupancy
Ti1 0.959 0.710 0.897 1
Ti2 0.290 0.103 0.041 1
Ti3 0.103 0.041 0.290 1
Ti4 0.500 0.500 0.500 1
Ti5 0.897 0.959 0.710 1
Ti6 0.710 0.897 0.959 1
Ti7 0.041 0.290 0.103 1
Se1 0.000 0.000 0.000 1
I1 0.928 0.293 0.786 1
I2 0.707 0.214 0.072 1
I3 0.455 0.157 0.382 1
I4 0.843 0.618 0.545 1
I5 0.214 0.072 0.707 1
I6 0.618 0.545 0.843 1
I7 0.382 0.455 0.157 1
I8 0.786 0.928 0.293 1
I9 0.157 0.382 0.455 1
I10 0.545 0.843 0.618 1
I11 0.293 0.786 0.928 1
I12 0.072 0.707 0.214 1
# Electronic total energy in eV/atom: -4.492
# Space-group type: R-3, No. 148



# 5
# PBE Ti2SeI3, optimized geometry
data_Ti2SeI3
_chemical_formula_sum 'Ti4 Se2 I6'
_symmetry_space_group_name_H-M 'P 1'
_symmetry_Int_Tables_number 1
_cell_length_a 3.765
_cell_length_b 10.741
_cell_length_c 12.660
_cell_angle_alpha 120.95
_cell_angle_beta 90.00
_cell_angle_gamma 100.09
loop_
_symmetry_equiv_pos_as_xyz
'x,y,z'
loop_
_atom_site_label
_atom_site_fract_x
_atom_site_fract_y
_atom_site_fract_z
_atom_site_occupancy
Ti1 0.066 0.131 0.788 1
Ti2 0.934 0.869 0.212 1
Ti3 0.417 0.833 0.551 1
Ti4 0.583 0.167 0.449 1
Se1 0.558 0.115 0.644 1
Se2 0.442 0.885 0.356 1
I1 0.922 0.844 0.732 1
I2 0.078 0.156 0.268 1
I3 0.368 0.736 0.019 1
I4 0.632 0.264 0.981 1
I5 0.194 0.389 0.606 1
I6 0.806 0.611 0.394 1
# Electronic total energy in eV/atom: -4.715
# Space-group type: C2/m, No. 12



# 6
# PBE Ti3SeI, optimized geometry
data_Ti3SeI
_chemical_formula_sum 'Ti3 Se1 I1'
_symmetry_space_group_name_H-M 'P 1'
_symmetry_Int_Tables_number 1
_cell_length_a 5.017
_cell_length_b 5.017
_cell_length_c 5.017
_cell_angle_alpha 90.00
_cell_angle_beta 90.00
_cell_angle_gamma 90.00
loop_
_symmetry_equiv_pos_as_xyz
'x,y,z'
loop_
_atom_site_label
_atom_site_fract_x
_atom_site_fract_y
_atom_site_fract_z
_atom_site_occupancy
I1 0.000 0.000 0.000 1
Se1 0.500 0.500 0.500 1
Ti1 0.000 0.500 0.000 1
Ti2 0.000 0.000 0.500 1
Ti3 0.500 0.000 0.000 1
# Electronic total energy in eV/atom: -4.786
# Energy relative to the lowest polymorph listed for this composition in eV/atom: 0.716
# Space-group type: Pm-3m, No. 221



# 7
# PBE TiSeI3, optimized geometry
data_TiSeI3
_chemical_formula_sum 'Ti1 Se1 I3'
_symmetry_space_group_name_H-M 'P 1'
_symmetry_Int_Tables_number 1
_cell_length_a 5.747
_cell_length_b 5.747
_cell_length_c 5.747
_cell_angle_alpha 90.00
_cell_angle_beta 90.00
_cell_angle_gamma 90.00
loop_
_symmetry_equiv_pos_as_xyz
'x,y,z'
loop_
_atom_site_label
_atom_site_fract_x
_atom_site_fract_y
_atom_site_fract_z
_atom_site_occupancy
I1 0.000 0.500 0.000 1
I2 0.000 0.000 0.500 1
I3 0.500 0.000 0.000 1
Se1 0.000 0.000 0.000 1
Ti1 0.500 0.500 0.500 1
# Electronic total energy in eV/atom: -2.460
# Space-group type: Pm-3m, No. 221



# 8
# PBE Tl2SeI, optimized geometry
data_Tl2SeI
_chemical_formula_sum 'Tl2 Se1 I1'
_symmetry_space_group_name_H-M 'P 1'
_symmetry_Int_Tables_number 1
_cell_length_a 4.571
_cell_length_b 4.571
_cell_length_c 8.177
_cell_angle_alpha 73.77
_cell_angle_beta 73.77
_cell_angle_gamma 60.00
loop_
_symmetry_equiv_pos_as_xyz
'x,y,z'
loop_
_atom_site_label
_atom_site_fract_x
_atom_site_fract_y
_atom_site_fract_z
_atom_site_occupancy
I1 0.500 0.500 0.500 1
Tl1 0.736 0.736 0.793 1
Tl2 0.264 0.264 0.207 1
Se1 0.000 0.000 0.000 1
# Electronic total energy in eV/atom: -2.826
# Energy relative to the lowest polymorph listed for this composition in eV/atom: 0.000
# Space-group type: R-3m, No. 166



# 9
# PBE TlSeI2, optimized geometry
data_TlSeI2
_chemical_formula_sum 'Tl1 Se1 I2'
_symmetry_space_group_name_H-M 'P 1'
_symmetry_Int_Tables_number 1
_cell_length_a 5.855
_cell_length_b 5.855
_cell_length_c 5.855
_cell_angle_alpha 60.00
_cell_angle_beta 60.00
_cell_angle_gamma 60.00
loop_
_symmetry_equiv_pos_as_xyz
'x,y,z'
loop_
_atom_site_label
_atom_site_fract_x
_atom_site_fract_y
_atom_site_fract_z
_atom_site_occupancy
I1 0.250 0.250 0.250 1
I2 0.750 0.750 0.750 1
Tl1 0.500 0.500 0.500 1
Se1 0.000 0.000 0.000 1
# Electronic total energy in eV/atom: -2.045
# Energy relative to the lowest polymorph listed for this composition in eV/atom: 0.189
# Space-group type: Fm-3m, No. 225



# 10
# PBE Tl6SeI4, optimized geometry
data_Tl6SeI4
_chemical_formula_sum 'Tl12 Se2 I8'
_symmetry_space_group_name_H-M 'P 1'
_symmetry_Int_Tables_number 1
_cell_length_a 9.688
_cell_length_b 9.688
_cell_length_c 9.688
_cell_angle_alpha 91.23
_cell_angle_beta 91.23
_cell_angle_gamma 88.77
loop_
_symmetry_equiv_pos_as_xyz
'x,y,z'
loop_
_atom_site_label
_atom_site_fract_x
_atom_site_fract_y
_atom_site_fract_z
_atom_site_occupancy
Tl1 0.693 0.050 0.053 1
Tl2 0.053 0.307 0.050 1
Tl3 0.553 0.450 0.193 1
Tl4 0.950 0.053 0.693 1
Tl5 0.550 0.193 0.553 1
Tl6 0.193 0.447 0.450 1
Tl7 0.807 0.553 0.550 1
Tl8 0.450 0.807 0.447 1
Tl9 0.050 0.947 0.307 1
Tl10 0.447 0.550 0.807 1
Tl11 0.947 0.693 0.950 1
Tl12 0.307 0.950 0.947 1
Se1 0.500 0.500 0.500 1
Se2 0.000 0.000 0.000 1
I1 0.336 0.164 0.250 1
I2 0.836 0.250 0.336 1
I3 0.250 0.664 0.164 1
I4 0.250 0.250 0.750 1
I5 0.750 0.750 0.250 1
I6 0.750 0.336 0.836 1
I7 0.164 0.750 0.664 1
I8 0.664 0.836 0.750 1
# Electronic total energy in eV/atom: -2.760
# Space-group type: R-3c, No. 167



# 11
# PBE Tl3SeI, optimized geometry
data_Tl3SeI
_chemical_formula_sum 'Tl6 Se2 I2'
_symmetry_space_group_name_H-M 'P 1'
_symmetry_Int_Tables_number 1
_cell_length_a 4.716
_cell_length_b 9.197
_cell_length_c 9.147
_cell_angle_alpha 88.77
_cell_angle_beta 90.00
_cell_angle_gamma 90.00
loop_
_symmetry_equiv_pos_as_xyz
'x,y,z'
loop_
_atom_site_label
_atom_site_fract_x
_atom_site_fract_y
_atom_site_fract_z
_atom_site_occupancy
Tl1 0.750 0.626 0.426 1
Tl2 0.250 0.374 0.574 1
Tl3 0.750 0.259 0.955 1
Tl4 0.250 0.940 0.688 1
Tl5 0.250 0.741 0.045 1
Tl6 0.750 0.060 0.312 1
Se1 0.250 0.838 0.378 1
Se2 0.750 0.162 0.622 1
I1 0.250 0.395 0.186 1
I2 0.750 0.605 0.814 1
# Electronic total energy in eV/atom: -2.868
# Energy relative to the lowest polymorph listed for this composition in eV/atom: 0.019
# Space-group type: P2_1/m, No. 11



# 12
# PBE Tl5Se2I2, optimized geometry
data_Tl5Se2I2
_chemical_formula_sum 'Tl10 Se4 I4'
_symmetry_space_group_name_H-M 'P 1'
_symmetry_Int_Tables_number 1
_cell_length_a 8.935
_cell_length_b 9.163
_cell_length_c 11.043
_cell_angle_alpha 114.51
_cell_angle_beta 113.86
_cell_angle_gamma 90.00
loop_
_symmetry_equiv_pos_as_xyz
'x,y,z'
loop_
_atom_site_label
_atom_site_fract_x
_atom_site_fract_y
_atom_site_fract_z
_atom_site_occupancy
Tl1 0.220 0.663 0.875 1
Tl2 0.780 0.788 0.125 1
Tl3 0.155 0.163 0.875 1
Tl4 0.845 0.288 0.125 1
Tl5 0.221 0.048 0.298 1
Tl6 0.779 0.749 0.702 1
Tl7 0.578 0.548 0.298 1
Tl8 0.422 0.249 0.702 1
Tl9 0.134 0.682 0.500 1
Tl10 0.866 0.182 0.500 1
Se1 0.000 0.012 0.000 1
Se2 0.500 0.512 0.000 1
Se3 0.100 0.379 0.500 1
Se4 0.900 0.879 0.500 1
I1 0.180 0.615 0.214 1
I2 0.820 0.401 0.786 1
I3 0.534 0.115 0.214 1
I4 0.466 0.901 0.786 1
# Electronic total energy in eV/atom: -2.822
# Space-group type: Ima2, No. 46



no.,E_form (uncorrected) (eV/f.u.)
1,-3.42
2,0.06
3,-3.64
4,-12.49
5,-4.36
6,4.79
7,3.73
8,-1.54
9,0.77
10,-6.48
11,-2.21
12,-3.50